(1)
Entry from the Alexandria database: a crystal of CsYW2O8 relaxed with PBEsol (SCAN).

a = 7.5088 Å, b = 7.5382 Å, c = 7.5382 Å
α = 90.90°, β = 117.43°, γ = 62.57°
With the nearest neighbours (Å) after each atom.
Fractional coordinates of all 24 atoms:
O: 0.0626 0.6212 0.2481  1 W 1.81
O: 0.7986 0.2178 0.9503  1 W 1.81
Y: 0.2500 0.7731 0.7731  6 O 2.27-2.34
O: 0.4374 0.2481 0.6212  1 W 1.81
O: 0.8738 0.0630 0.6241  1 W 1.84
Cs: 0.7500 0.8018 0.8018  10 O 2.93-3.07
Y: 0.7500 0.2269 0.2269  6 O 2.27-2.34
O: 0.4660 0.5878 0.6286  2 W 1.99-2.07
Cs: 0.2500 0.1982 0.1982  10 O 2.93-3.07
O: 0.0340 0.6286 0.5878  2 W 1.99-2.07
O: 0.5340 0.4122 0.3714  2 W 1.99-2.07
O: 0.9660 0.3714 0.4122  2 W 1.99-2.07
W: 0.2243 0.3102 0.6981  4 O 1.81-1.99
O: 0.6262 0.6241 0.0630  1 W 1.84
O: 0.7014 0.9503 0.2178  1 W 1.81
O: 0.3738 0.3759 0.9370  1 W 1.84
W: 0.2757 0.6981 0.3102  4 O 1.81-1.99
W: 0.7757 0.6898 0.3019  4 O 1.81-1.99
W: 0.7243 0.3019 0.6898  4 O 1.81-1.99
O: 0.9374 0.3788 0.7519  1 W 1.81
O: 0.2014 0.7822 0.0497  1 W 1.81
O: 0.1262 0.9370 0.3759  1 W 1.84
O: 0.2986 0.0497 0.7822  1 W 1.81
O: 0.5626 0.7519 0.3788  1 W 1.81

Calculated values
Symmetry: C2/c
Energy, eV/cell: -575.1

(2)
Entry from the Alexandria database: a crystal of SrLi3Tl relaxed with PBEsol (SCAN).

a = 5.1541 Å, b = 5.1541 Å, c = 5.1541 Å
α = 90.00°, β = 90.00°, γ = 90.00°
With the nearest neighbours (Å) after each atom.
Fractional coordinates of all 5 atoms:
Li: 0.0000 0.0000 0.5000  2 Tl 2.58
Tl: 0.0000 0.0000 0.0000  6 Li 2.58
Sr: 0.5000 0.5000 0.5000  12 Li 3.64
Li: 0.5000 0.0000 0.0000  2 Tl 2.58
Li: 0.0000 0.5000 0.0000  2 Tl 2.58

Calculated values
Formation energy from the elements, eV/atom: -0.192
Symmetry: Pm-3m
Polymorph energy (0 for the lowest one), meV/atom: 0
Energy, eV/cell: -102.8

(3)
Entry from the Alexandria database: a crystal of LiMgP2 relaxed with PBEsol (SCAN).

a = 3.2107 Å, b = 4.0050 Å, c = 5.5723 Å
α = 111.06°, β = 106.74°, γ = 90.00°
With the nearest neighbours (Å) after each atom.
Fractional coordinates of all 4 atoms:
Li: 0.5091 0.5091 0.0181  6 P 2.57-2.68
P: 0.0169 0.0169 0.0338  2 P 2.34, 4 Li 2.57
Mg: 0.2850 0.7850 0.5700  6 P 2.74-2.80, 2 Li 2.99
P: 0.6890 0.1890 0.3781  2 P 2.34

Calculated values
Formation energy from the elements, eV/atom: -0.358
Symmetry: Imm2
Energy, eV/cell: -29.6

(4)
Entry from the Alexandria database: a crystal of RbTi2ReF relaxed with PBEsol (SCAN).

a = 4.6350 Å, b = 4.7114 Å, c = 4.7114 Å
α = 90.00°, β = 90.00°, γ = 90.00°
With the nearest neighbours (Å) after each atom.
Fractional coordinates of all 5 atoms:
Re: 0.5000 0.0000 0.0000  2 Rb 2.32
Ti: 0.0000 0.5000 0.0000  2 Rb 2.36
Ti: 0.0000 0.0000 0.5000  2 Rb 2.36
Rb: 0.0000 0.0000 0.0000  2 Re 2.32, 4 Ti 2.36
F: 0.5000 0.5000 0.5000  8 Ti 3.30, 4 Re 3.33

Calculated values
Symmetry: P4/mmm
Energy, eV/cell: -113.6

(5)
Entry from the Alexandria database: a crystal of HgPtPb relaxed with PBEsol (SCAN).

a = 3.1356 Å, b = 3.4896 Å, c = 6.3706 Å
α = 105.90°, β = 104.25°, γ = 90.00°
With the nearest neighbours (Å) after each atom.
Fractional coordinates of all 3 atoms:
Pt: 0.6645 0.6645 0.3289  4 Hg 2.88, 4 Pb 2.92, 2 Pt 3.14
Hg: 0.0240 0.0240 0.0480  4 Pt 2.88, 2 Hg 3.14
Pb: 0.3116 0.3116 0.6231  4 Pt 2.92, 2 Pb 3.14

Calculated values
Formation energy from the elements, eV/atom: 0.047
Symmetry: Imm2
Polymorph energy (0 for the lowest one), meV/atom: 155
Energy, eV/cell: -214.0

(6)
Entry from the Alexandria database: a crystal of TaSbTe2Mo relaxed with PBEsol (SCAN).

a = 5.2863 Å, b = 5.2863 Å, c = 5.3296 Å
α = 90.00°, β = 90.00°, γ = 90.00°
With the nearest neighbours (Å) after each atom.
Fractional coordinates of all 5 atoms:
Te: 0.0000 0.5000 0.0000  2 Ta 2.64
Mo: 0.5000 0.5000 0.5000  4 Sb 3.74, 8 Te 3.75
Sb: 0.0000 0.0000 0.5000  2 Ta 2.66
Ta: 0.0000 0.0000 0.0000  4 Te 2.64, 2 Sb 2.66
Te: 0.5000 0.0000 0.0000  2 Ta 2.64

Calculated values
Symmetry: P4/mmm
Energy, eV/cell: -208.1

(7)
Entry from the Alexandria database: a crystal of Sr2SmBeO5 relaxed with PBEsol (SCAN).

a = 6.4843 Å, b = 7.3415 Å, c = 9.4550 Å
α = 90.00°, β = 90.00°, γ = 90.00°
With the nearest neighbours (Å) after each atom.
Fractional coordinates of all 36 atoms:
Be: 0.6887 0.7500 0.8996  4 O 1.63-1.67
Be: 0.3113 0.2500 0.1004  4 O 1.63-1.67
Be: 0.1887 0.2500 0.6004  4 O 1.63-1.67
O: 0.6867 0.9371 0.4380  1 Be 1.63
O: 0.8257 0.2500 0.2223  1 Sm 2.43, 4 Sr 2.57-2.58
O: 0.8133 0.5629 0.9380  1 Be 1.63
Sr: 0.4122 0.0249 0.8264  8 O 2.54-2.68, 1 Be 2.79
Sm: 0.9056 0.2500 0.9713  7 O 2.37-2.44
O: 0.0350 0.7500 0.4878  1 Be 1.67
O: 0.1867 0.4371 0.0620  1 Be 1.63
O: 0.3133 0.4371 0.5620  1 Be 1.63
O: 0.9650 0.2500 0.5122  1 Be 1.67
Be: 0.8113 0.7500 0.3996  4 O 1.63-1.67
O: 0.8133 0.9371 0.9380  1 Be 1.63
O: 0.6743 0.2500 0.7223  1 Sm 2.43, 4 Sr 2.57-2.58
O: 0.1743 0.7500 0.7777  1 Sm 2.43, 4 Sr 2.57-2.58
O: 0.6238 0.7500 0.7292  1 Be 1.67
Sm: 0.5944 0.2500 0.4713  7 O 2.37-2.44
O: 0.4650 0.7500 0.9878  1 Be 1.67
Sr: 0.9122 0.9751 0.6736  8 O 2.54-2.68, 1 Be 2.79
Sr: 0.0878 0.4751 0.3264  8 O 2.54-2.68, 1 Be 2.79
Sr: 0.9122 0.5249 0.6736  8 O 2.54-2.68, 1 Be 2.79
O: 0.3133 0.0629 0.5620  1 Be 1.63
Sm: 0.0944 0.7500 0.0287  7 O 2.37-2.44
Sr: 0.5878 0.5249 0.1736  8 O 2.54-2.68, 1 Be 2.79
O: 0.3257 0.7500 0.2777  1 Sm 2.43, 4 Sr 2.57-2.58
O: 0.1867 0.0629 0.0620  1 Be 1.63
Sr: 0.4122 0.4751 0.8264  8 O 2.54-2.68, 1 Be 2.79
Sr: 0.0878 0.0249 0.3264  8 O 2.54-2.68, 1 Be 2.79
Sm: 0.4056 0.7500 0.5287  7 O 2.37-2.44
O: 0.8762 0.7500 0.2292  1 Be 1.67
O: 0.3762 0.2500 0.2708  1 Be 1.67
Sr: 0.5878 0.9751 0.1736  8 O 2.54-2.68, 1 Be 2.79
O: 0.5350 0.2500 0.0122  1 Be 1.67
O: 0.6867 0.5629 0.4380  1 Be 1.63
O: 0.1238 0.2500 0.7708  1 Be 1.67

Calculated values
Symmetry: Pnma
Energy, eV/cell: -607.8

(8)
Entry from the Alexandria database: a crystal of LiTi3Tc relaxed with PBEsol (SCAN).

a = 4.2124 Å, b = 4.2124 Å, c = 4.2124 Å
α = 90.00°, β = 90.00°, γ = 90.00°
With the nearest neighbours (Å) after each atom.
Fractional coordinates of all 5 atoms:
Tc: 0.5000 0.5000 0.5000  12 Ti 2.98
Ti: 0.0000 0.5000 0.0000  2 Li 2.11
Ti: 0.5000 0.0000 0.0000  2 Li 2.11
Ti: 0.0000 0.0000 0.5000  2 Li 2.11
Li: 0.0000 0.0000 0.0000  6 Ti 2.11

Calculated values
Formation energy from the elements, eV/atom: 0.990
Symmetry: Pm-3m
Energy, eV/cell: -80.6

(9)
Entry from the Alexandria database: a crystal of FeTeOs2 relaxed with PBEsol (SCAN).

a = 2.9467 Å, b = 2.9467 Å, c = 8.3773 Å
α = 79.87°, β = 79.87°, γ = 60.00°
With the nearest neighbours (Å) after each atom.
Fractional coordinates of all 4 atoms:
Os: 0.7440 0.7440 0.7680  3 Fe 2.55, 3 Te 2.78
Te: 0.5000 0.5000 0.5000  6 Os 2.78, 6 Te 2.95
Os: 0.2560 0.2560 0.2320  3 Fe 2.55, 3 Te 2.78
Fe: 0.0000 0.0000 0.0000  6 Os 2.55

Calculated values
Symmetry: R-3m
Energy, eV/cell: -196.4

(10)
Entry from the Alexandria database: a crystal of BeSb2W relaxed with PBEsol (SCAN).

a = 3.4836 Å, b = 4.3527 Å, c = 6.2016 Å
α = 83.50°, β = 73.69°, γ = 66.41°
With the nearest neighbours (Å) after each atom.
Fractional coordinates of all 4 atoms:
Sb: 0.9909 0.9150 0.1032  2 Be 2.53, 2 W 2.81
W: 0.5433 0.5382 0.3751  3 Be 2.37-2.38
Be: 0.2465 0.1321 0.3749  3 W 2.37-2.38, 4 Sb 2.53
Sb: 0.7193 0.9147 0.6468  2 Be 2.53, 2 W 2.81

Calculated values
Symmetry: Fmm2
Energy, eV/cell: -146.7

Q: Look up the energy of the first one.
A: -575.1 eV/cell

Q: Look up the energy of the sixth one.
A: -208.1 eV/cell

Q: Which of these has the highest energy?
A: LiMgP2

Q: Which value of energy does entry 4 give?
A: -113.6 eV/cell